Computed, not measured: NiAgAuO4 after structural relaxation at the GGA+U level of DFT.

Summary:
The value obtained for the volume is 12.897 Å³/atom. For the total DFT energy (no corrections), the calculation gives -4.34 eV/atom.

Cell lengths 6.3465, 6.3465, 6.3465 Å; angles 122.22, 117.67, 90.15 degrees
Closest atoms and distances in Å follow each position.
Fractional coordinates of all 14 atoms:
Ni (0.5000, 0.0000, 0.0000)  6 O 2.05-2.18
Ni (0.5000, 0.5000, 0.5000)  6 O 2.05-2.18
Ag (0.0987, 0.3487, 0.7500)  4 O 2.22-2.25
Ag (0.9013, 0.6513, 0.2500)  4 O 2.22-2.25
Au (0.0000, 0.0000, 0.0000)  6 O 2.06-2.11
Au (0.5000, 0.0000, 0.5000)  6 O 2.06-2.11
O (0.2578, 0.2236, 0.4658)  2 Au 2.11, 1 Ni 2.18, 1 Ag 2.25
O (0.2578, 0.7919, 0.0342)  2 Au 2.11, 1 Ni 2.18, 1 Ag 2.25
O (0.2714, 0.2273, 0.0441)  2 Ni 2.05, 1 Au 2.06, 1 Ag 2.22
O (0.3168, 0.7727, 0.5441)  2 Ni 2.05, 1 Au 2.06, 1 Ag 2.22
O (0.6832, 0.2273, 0.4559)  2 Ni 2.05, 1 Au 2.06, 1 Ag 2.22
O (0.7286, 0.7727, 0.9559)  2 Ni 2.05, 1 Au 2.06, 1 Ag 2.22
O (0.7422, 0.2081, 0.9658)  2 Au 2.11, 1 Ni 2.18, 1 Ag 2.25
O (0.7422, 0.7764, 0.5342)  2 Au 2.11, 1 Ni 2.18, 1 Ag 2.25